Entry 1:
{
  "formula": "TbCoSi",
  "functional": "PBE",
  "state": "relaxed",
  "final_energy_ev_per_atom": -6.2742,
  "lattice": [[6.7293, 0.0000, 0.0000], [-3.3647, 5.8278, 0.0000], [0.0000, 0.0000, 3.9169]],
  "species": ["Tb", "Tb", "Tb", "Co", "Co", "Co", "Si", "Si", "Si"],
  "frac_coords": [[0.0000, 0.5809, 0.0000], [0.4191, 0.4191, 0.0000], [0.5809, 0.0000, 0.0000], [0.0000, 0.2250, 0.5000], [0.2250, 0.0000, 0.5000], [0.7750, 0.7750, 0.5000], [0.0000, 0.0000, 0.0000], [0.3333, 0.6667, 0.5000], [0.6667, 0.3333, 0.5000]]
}

***

Entry 2:
{
  "formula": "BaThAs",
  "functional": "PBE",
  "state": "relaxed",
  "relative_energy_mev_per_atom": 0.0,
  "final_energy_ev_per_atom": -4.9809,
  "lattice": [[7.3618, 0.0000, 0.0000], [0.0000, 7.3618, 0.0000], [0.0000, 0.0000, 7.3618]],
  "species": ["Ba", "Ba", "Ba", "Ba", "Th", "Th", "Th", "Th", "As", "As", "As", "As"],
  "frac_coords": [[0.0000, 0.0000, 0.0000], [0.0000, 0.5000, 0.5000], [0.5000, 0.0000, 0.5000], [0.5000, 0.5000, 0.0000], [0.0000, 0.0000, 0.5000], [0.0000, 0.5000, 0.0000], [0.5000, 0.0000, 0.0000], [0.5000, 0.5000, 0.5000], [0.2500, 0.2500, 0.2500], [0.2500, 0.7500, 0.7500], [0.7500, 0.2500, 0.7500], [0.7500, 0.7500, 0.2500]]
}

***

Entry 3:
{
  "formula": "Fe2Ge",
  "functional": "PBE",
  "state": "relaxed",
  "final_energy_ev_per_atom": -5.0876,
  "lattice": [[0.0000, 5.4014, 5.4014], [5.4014, 0.0000, 5.4014], [5.4014, 5.4014, 0.0000]],
  "species": ["Fe", "Fe", "Fe", "Fe", "Ge", "Ge"],
  "frac_coords": [[0.0000, 0.0000, 0.0000], [0.0000, 0.0000, 0.5000], [0.0000, 0.5000, 0.0000], [0.5000, 0.0000, 0.0000], [0.1250, 0.1250, 0.1250], [0.8750, 0.8750, 0.8750]]
}

***

Entry 4:
{
  "formula": "LuTlCdS3",
  "functional": "PBE",
  "state": "relaxed",
  "relative_energy_mev_per_atom": 33.9,
  "final_energy_ev_per_atom": -4.4352,
  "lattice": [[12.0808, 0.0000, 0.0000], [0.0000, 4.0108, 0.0000], [0.0000, 0.0000, 12.2869]],
  "species": ["Lu", "Lu", "Lu", "Lu", "Tl", "Tl", "Tl", "Tl", "Cd", "Cd", "Cd", "Cd", "S", "S", "S", "S", "S", "S", "S", "S", "S", "S", "S", "S"],
  "frac_coords": [[0.0342, 0.2500, 0.1564], [0.4658, 0.7500, 0.6564], [0.5342, 0.2500, 0.3436], [0.9658, 0.7500, 0.8436], [0.1439, 0.2500, 0.5187], [0.3561, 0.7500, 0.0187], [0.6439, 0.2500, 0.9813], [0.8561, 0.7500, 0.4813], [0.2484, 0.7500, 0.3054], [0.2516, 0.2500, 0.8054], [0.7484, 0.7500, 0.1946], [0.7516, 0.2500, 0.6946], [0.0353, 0.7500, 0.3086], [0.0903, 0.2500, 0.9356], [0.2456, 0.7500, 0.6727], [0.2544, 0.2500, 0.1727], [0.4097, 0.7500, 0.4356], [0.4647, 0.2500, 0.8086], [0.5353, 0.7500, 0.1914], [0.5903, 0.2500, 0.5644], [0.7456, 0.7500, 0.8273], [0.7544, 0.2500, 0.3273], [0.9097, 0.7500, 0.0644], [0.9647, 0.2500, 0.6914]]
}

***

Entry 5:
{
  "formula": "HoPd2Au5",
  "functional": "PBE",
  "state": "relaxed",
  "final_energy_ev_per_atom": -4.3622,
  "lattice": [[5.8886, 0.0000, 0.0000], [0.0000, 11.7835, 0.0000], [0.0000, 0.0000, 4.1905]],
  "species": ["Ho", "Ho", "Pd", "Pd", "Pd", "Pd", "Au", "Au", "Au", "Au", "Au", "Au", "Au", "Au", "Au", "Au"],
  "frac_coords": [[0.0000, 0.0000, 0.0000], [0.5000, 0.5000, 0.0000], [0.2481, 0.3765, 0.5000], [0.2519, 0.8765, 0.5000], [0.7481, 0.1235, 0.5000], [0.7519, 0.6235, 0.5000], [0.9999, 0.2486, 0.0000], [0.0000, 0.5000, 0.0000], [0.0001, 0.7514, 0.0000], [0.2450, 0.6277, 0.5000], [0.2550, 0.1277, 0.5000], [0.5000, 0.0000, 0.0000], [0.4999, 0.2514, 0.0000], [0.5001, 0.7486, 0.0000], [0.7450, 0.8723, 0.5000], [0.7550, 0.3723, 0.5000]]
}

***

Entry 6:
{
  "formula": "DyMg",
  "functional": "PBE",
  "state": "relaxed",
  "final_energy_ev_per_atom": -3.0317,
  "lattice": [[5.4554, 0.0000, 0.0000], [0.0000, 6.8456, 0.0000], [0.0000, 0.0000, 5.9429]],
  "species": ["Dy", "Dy", "Dy", "Dy", "Mg", "Mg", "Mg", "Mg"],
  "frac_coords": [[0.0000, 0.0000, 0.0000], [0.0000, 0.2505, 0.5106], [0.0000, 0.7495, 0.5106], [0.5000, 0.0000, 0.3515], [0.0000, 0.5000, 0.0154], [0.5000, 0.2545, 0.8424], [0.5000, 0.5000, 0.3339], [0.5000, 0.7455, 0.8424]]
}

***

Entry 7:
{
  "formula": "AsPt15",
  "functional": "PBE",
  "state": "relaxed",
  "relative_energy_mev_per_atom": 33.9,
  "final_energy_ev_per_atom": -5.9200,
  "lattice": [[3.9322, 0.0000, 0.0000], [0.0000, 3.9326, 0.0000], [0.0000, 0.0000, 44.4998]],
  "species": ["As", "As", "Pt", "Pt", "Pt", "Pt", "Pt", "Pt", "Pt", "Pt", "Pt", "Pt", "Pt", "Pt", "Pt", "Pt", "Pt", "Pt", "Pt", "Pt", "Pt", "Pt", "Pt", "Pt", "Pt", "Pt", "Pt", "Pt", "Pt", "Pt", "Pt", "Pt"],
  "frac_coords": [[0.2500, 0.0000, 0.1647], [0.7500, 0.0000, 0.8353], [0.2500, 0.0000, 0.2536], [0.2500, 0.0000, 0.3433], [0.2500, 0.0000, 0.4328], [0.2500, 0.0000, 0.5224], [0.2500, 0.0000, 0.6119], [0.2500, 0.0000, 0.7014], [0.2500, 0.0000, 0.7925], [0.2500, 0.5000, 0.2075], [0.2500, 0.5000, 0.2986], [0.2500, 0.5000, 0.3881], [0.2500, 0.5000, 0.4776], [0.2500, 0.5000, 0.5672], [0.2500, 0.5000, 0.6568], [0.2500, 0.5000, 0.7466], [0.2500, 0.5000, 0.8369], [0.7500, 0.0000, 0.2075], [0.7500, 0.0000, 0.2986], [0.7500, 0.0000, 0.3881], [0.7500, 0.0000, 0.4776], [0.7500, 0.0000, 0.5672], [0.7500, 0.0000, 0.6567], [0.7500, 0.0000, 0.7464], [0.7500, 0.5000, 0.1631], [0.7500, 0.5000, 0.2534], [0.7500, 0.5000, 0.3432], [0.7500, 0.5000, 0.4328], [0.7500, 0.5000, 0.5224], [0.7500, 0.5000, 0.6119], [0.7500, 0.5000, 0.7014], [0.7500, 0.5000, 0.7925]]
}

***

Entry 8:
{
  "formula": "KGaIr",
  "functional": "PBE",
  "state": "relaxed",
  "relative_energy_mev_per_atom": 0.0,
  "final_energy_ev_per_atom": -3.6798,
  "lattice": [[6.5280, 0.0000, 0.0000], [0.0000, 6.5280, 0.0000], [0.0000, 0.0000, 6.5280]],
  "species": ["K", "K", "K", "K", "Ga", "Ga", "Ga", "Ga", "Ir", "Ir", "Ir", "Ir"],
  "frac_coords": [[0.0000, 0.0000, 0.0000], [0.0000, 0.5000, 0.5000], [0.5000, 0.0000, 0.5000], [0.5000, 0.5000, 0.0000], [0.0000, 0.0000, 0.5000], [0.0000, 0.5000, 0.0000], [0.5000, 0.0000, 0.0000], [0.5000, 0.5000, 0.5000], [0.2500, 0.2500, 0.7500], [0.2500, 0.7500, 0.2500], [0.7500, 0.2500, 0.2500], [0.7500, 0.7500, 0.7500]]
}

***

Entry 9:
{
  "formula": "TmBiPb2O6",
  "functional": "PBE",
  "state": "relaxed",
  "relative_energy_mev_per_atom": 0.0,
  "final_energy_ev_per_atom": -6.2239,
  "lattice": [[5.1249, -2.9565, 0.0000], [5.1249, 2.9565, 0.0000], [-3.2458, 0.0000, 9.7780]],
  "species": ["Tm", "Tm", "Bi", "Bi", "Pb", "Pb", "Pb", "Pb", "O", "O", "O", "O", "O", "O", "O", "O", "O", "O", "O", "O"],
  "frac_coords": [[0.2460, 0.7540, 0.7500], [0.7540, 0.2460, 0.2500], [0.0000, 0.5000, 0.0000], [0.5000, 0.0000, 0.5000], [0.0933, 0.6431, 0.3732], [0.3569, 0.9067, 0.1268], [0.6431, 0.0933, 0.8732], [0.9067, 0.3569, 0.6268], [0.1098, 0.7144, 0.9176], [0.1198, 0.1799, 0.8400], [0.1799, 0.1198, 0.3400], [0.2856, 0.8902, 0.5824], [0.3153, 0.3733, 0.6235], [0.3733, 0.3153, 0.1235], [0.6267, 0.6847, 0.8765], [0.6847, 0.6267, 0.3765], [0.7144, 0.1098, 0.4176], [0.8201, 0.8802, 0.6600], [0.8802, 0.8201, 0.1600], [0.8902, 0.2856, 0.0824]]
}

***

Entry 10:
{
  "formula": "AlNiI7",
  "functional": "PBE",
  "state": "relaxed",
  "final_energy_ev_per_atom": -2.4854,
  "lattice": [[7.2134, 0.0000, 0.0000], [0.0000, 7.0166, 0.0000], [-3.4438, 0.0000, 15.5406]],
  "species": ["Al", "Al", "Ni", "Ni", "I", "I", "I", "I", "I", "I", "I", "I", "I", "I", "I", "I", "I", "I"],
  "frac_coords": [[0.0000, 0.0016, 0.0000], [0.0000, 0.9984, 0.5000], [0.2891, 0.3554, 0.1508], [0.2891, 0.6446, 0.6508], [0.2158, 0.4322, 0.7633], [0.2158, 0.5678, 0.2633], [0.3308, 0.1584, 0.0113], [0.3308, 0.8416, 0.5113], [0.5143, 0.1779, 0.2759], [0.5143, 0.8221, 0.7759], [0.5424, 0.4198, 0.6278], [0.5424, 0.5802, 0.1278], [0.7720, 0.1534, 0.8683], [0.7720, 0.8466, 0.3683], [0.9560, 0.3508, 0.4894], [0.9560, 0.6492, 0.9894], [0.9706, 0.1553, 0.1449], [0.9706, 0.8447, 0.6449]]
}

***

Entry 11:
{
  "formula": "Zr2Sc4Fe3C3",
  "functional": "PBE",
  "state": "relaxed",
  "final_energy_ev_per_atom": -8.1090,
  "lattice": [[4.8330, -2.7958, 0.0000], [4.8330, 2.7958, 0.0000], [-3.1219, 0.0000, 13.1875]],
  "species": ["Zr", "Zr", "Zr", "Zr", "Sc", "Sc", "Sc", "Sc", "Sc", "Sc", "Sc", "Sc", "Fe", "Fe", "Fe", "Fe", "Fe", "Fe", "C", "C", "C", "C", "C", "C"],
  "frac_coords": [[0.0342, 0.8699, 0.6069], [0.1301, 0.9658, 0.8931], [0.8699, 0.0342, 0.1069], [0.9658, 0.1301, 0.3931], [0.1979, 0.3641, 0.0934], [0.3045, 0.4674, 0.4068], [0.3641, 0.1979, 0.5934], [0.4674, 0.3045, 0.9068], [0.5326, 0.6955, 0.0932], [0.6359, 0.8021, 0.4066], [0.6955, 0.5326, 0.5932], [0.8021, 0.6359, 0.9066], [0.0795, 0.4111, 0.7506], [0.4111, 0.0795, 0.2506], [0.4134, 0.5866, 0.2500], [0.5866, 0.4134, 0.7500], [0.5889, 0.9205, 0.7494], [0.9205, 0.5889, 0.2494], [0.0000, 0.5000, 0.5000], [0.1558, 0.6882, 0.0000], [0.3118, 0.8442, 0.5000], [0.5000, 0.0000, 0.0000], [0.6882, 0.1558, 0.5000], [0.8442, 0.3118, 0.0000]]
}

***

Entry 12:
{
  "formula": "TbEr2Cu4Sn2Ge2",
  "functional": "PBE",
  "state": "relaxed",
  "relative_energy_mev_per_atom": 65.1,
  "final_energy_ev_per_atom": -4.6901,
  "lattice": [[-2.1305, 3.4720, 7.1273], [2.1305, -3.4720, 7.1273], [2.1305, 3.4720, -7.1273]],
  "species": ["Tb", "Er", "Er", "Cu", "Cu", "Cu", "Cu", "Sn", "Sn", "Ge", "Ge"],
  "frac_coords": [[0.0000, 0.0000, 0.0000], [0.3642, 0.8642, 0.5000], [0.6358, 0.1358, 0.5000], [0.0113, 0.3238, 0.6875], [0.3637, 0.6762, 0.6875], [0.6363, 0.3238, 0.3125], [0.9887, 0.6762, 0.3125], [0.2999, 0.5000, 0.7999], [0.7001, 0.5000, 0.2001], [0.2174, 0.2174, 0.0000], [0.7826, 0.7826, 0.0000]]
}